Li6CuAu5: optimized geometry, PBE.

DOS at the Fermi energy	2.8	states/eV per cell
magnetic moment	0.00	μB/f.u.
E_form	-455	meV per atom
crystal system	orthorhombic

Structure (POSCAR):
```
Li6CuAu5
1.0
-2.0524 3.5988 6.1424
2.0524 -3.5988 6.1424
2.0524 3.5988 -6.1424
Li Cu Au
6 1 5
Direct
0.0789 0.3324 0.7465 Li
0.2414 0.0000 0.2414 Li
0.4141 0.6676 0.7465 Li
0.5859 0.3324 0.2535 Li
0.7586 0.0000 0.7586 Li
0.9211 0.6676 0.2535 Li
0.5000 0.5000 0.0000 Cu
0.0000 0.5000 0.5000 Au
0.1716 0.1716 0.0000 Au
0.3465 0.8465 0.5000 Au
0.6535 0.1535 0.5000 Au
0.8284 0.8284 0.0000 Au
```

---

LiCu2Au: optimized geometry, PBE.

DOS at the Fermi energy	1.7	states/eV per cell
magnetic moment	0.00	μB/f.u.
E_form	-159	meV per atom
crystal system	orthorhombic

Structure (POSCAR):
```
LiCu2Au
1.0
2.7297 0.0000 0.0000
0.0000 3.7307 0.0000
0.0000 0.0000 5.4248
Li Cu Au
1 2 1
Direct
0.0000 0.0000 0.0000 Li
0.0000 0.0000 0.5290 Cu
0.5000 0.5000 0.7448 Cu
0.5000 0.5000 0.2478 Au
```

---

Li12Cu2Au: optimized geometry, PBE.

DOS at the Fermi energy	9.8	states/eV per cell
magnetic moment	0.00	μB/f.u.
E_form	96	meV per atom
crystal system	tetragonal

Structure (POSCAR):
```
Li12Cu2Au
1.0
5.3762 0.0000 0.0000
0.0000 5.3762 0.0000
0.0000 0.0000 20.7482
Li Cu Au
24 4 2
Direct
0.0000 0.0000 0.0859 Li
0.0000 0.0000 0.9141 Li
0.0000 0.5000 0.0859 Li
0.0000 0.5000 0.9141 Li
0.0636 0.5636 0.4388 Li
0.0636 0.9364 0.5612 Li
0.2500 0.2500 0.1918 Li
0.2500 0.2500 0.3240 Li
0.2500 0.2500 0.6760 Li
0.2500 0.2500 0.8082 Li
0.4364 0.5636 0.5612 Li
0.4364 0.9364 0.4388 Li
0.5000 0.0000 0.0859 Li
0.5000 0.0000 0.9141 Li
0.5000 0.5000 0.0859 Li
0.5000 0.5000 0.9141 Li
0.5636 0.0636 0.5612 Li
0.5636 0.4364 0.4388 Li
0.7500 0.7500 0.1918 Li
0.7500 0.7500 0.3240 Li
0.7500 0.7500 0.6760 Li
0.7500 0.7500 0.8082 Li
0.9364 0.0636 0.4388 Li
0.9364 0.4364 0.5612 Li
0.2500 0.7500 0.1760 Cu
0.2500 0.7500 0.8240 Cu
0.7500 0.2500 0.1760 Cu
0.7500 0.2500 0.8240 Cu
0.2500 0.7500 0.0000 Au
0.7500 0.2500 0.0000 Au
```

---

Li8CuAu2: optimized geometry, PBE.

DOS at the Fermi energy	3.3	states/eV per cell
magnetic moment	0.00	μB/f.u.
E_form	-259	meV per atom
crystal system	orthorhombic

Structure (POSCAR):
```
Li8CuAu2
1.0
-2.1595 3.3752 6.1610
2.1595 -3.3752 6.1610
2.1595 3.3752 -6.1610
Li Cu Au
8 1 2
Direct
0.1328 0.3508 0.7820 Li
0.1542 0.1542 0.0000 Li
0.3020 0.0000 0.3020 Li
0.4313 0.6492 0.7820 Li
0.5687 0.3508 0.2180 Li
0.6980 0.0000 0.6980 Li
0.8458 0.8458 0.0000 Li
0.8672 0.6492 0.2180 Li
0.0000 0.5000 0.5000 Cu
0.3051 0.8051 0.5000 Au
0.6949 0.1949 0.5000 Au
```

---

LiCu12Au6: optimized geometry, PBE.

DOS at the Fermi energy	4.9	states/eV per cell
magnetic moment	0.00	μB/f.u.
E_form	10	meV per atom
crystal system	trigonal

Structure (POSCAR):
```
LiCu12Au6
1.0
5.6087 3.2382 2.5915
-5.6087 3.2382 2.5915
0.0000 -6.4764 2.5915
Li Cu Au
1 12 6
Direct
0.0000 0.0000 0.0000 Li
0.1472 0.8371 0.2827 Cu
0.1629 0.7173 0.8528 Cu
0.1840 0.5911 0.4806 Cu
0.2827 0.1472 0.8371 Cu
0.4089 0.5194 0.8160 Cu
0.4806 0.1840 0.5911 Cu
0.5194 0.8160 0.4089 Cu
0.5911 0.4806 0.1840 Cu
0.7173 0.8528 0.1629 Cu
0.8160 0.4089 0.5194 Cu
0.8371 0.2827 0.1472 Cu
0.8528 0.1629 0.7173 Cu
0.0839 0.1944 0.4573 Au
0.1944 0.4573 0.0839 Au
0.4573 0.0839 0.1944 Au
0.5427 0.9161 0.8056 Au
0.8056 0.5427 0.9161 Au
0.9161 0.8056 0.5427 Au
```

---

Li2CuAu2: optimized geometry, PBE.

DOS at the Fermi energy	1.4	states/eV per cell
magnetic moment	0.00	μB/f.u.
E_form	-87	meV per atom
crystal system	tetragonal

Structure (POSCAR):
```
Li2CuAu2
1.0
-1.7613 1.7613 6.5683
1.7613 -1.7613 6.5683
1.7613 1.7613 -6.5683
Li Cu Au
2 1 2
Direct
0.2500 0.7500 0.5000 Li
0.7500 0.2500 0.5000 Li
0.0000 0.0000 0.0000 Cu
0.3960 0.3960 0.0000 Au
0.6040 0.6040 0.0000 Au
```

---

LiCu2Au: optimized geometry, PBE.

DOS at the Fermi energy	2.4	states/eV per cell
magnetic moment	0.00	μB/f.u.
E_form	2	meV per atom
crystal system	tetragonal

Structure (POSCAR):
```
LiCu2Au
1.0
-1.7868 1.7868 9.2293
1.7868 -1.7868 9.2293
1.7868 1.7868 -9.2293
Li Cu Au
2 4 2
Direct
0.0000 0.0000 0.0000 Li
0.7500 0.2500 0.5000 Li
0.1289 0.6250 0.0039 Cu
0.3750 0.3789 0.5039 Cu
0.6211 0.1250 0.9961 Cu
0.8750 0.8711 0.4961 Cu
0.2500 0.7500 0.5000 Au
0.5000 0.5000 0.0000 Au
```

---

Li8CuAu2: optimized geometry, PBE.

DOS at the Fermi energy	4.0	states/eV per cell
magnetic moment	0.00	μB/f.u.
E_form	-191	meV per atom
crystal system	monoclinic

Structure (POSCAR):
```
Li8CuAu2
1.0
4.9573 -4.5890 0.0000
4.9573 4.5890 0.0000
-1.1956 0.0000 4.5021
Li Cu Au
8 1 2
Direct
0.0750 0.0750 0.2988 Li
0.1473 0.6318 0.1656 Li
0.3561 0.3561 0.4819 Li
0.3682 0.8527 0.8344 Li
0.6318 0.1473 0.1656 Li
0.6439 0.6439 0.5181 Li
0.8527 0.3682 0.8344 Li
0.9250 0.9250 0.7012 Li
0.5000 0.5000 0.0000 Cu
0.2268 0.2268 0.9034 Au
0.7732 0.7732 0.0966 Au
```